1.
## SrEuZrVO6 (GGA+U)

Data for a relaxed SrEuZrVO6 crystal.

The structure in CIF format:
```
data_SrEuZrVO6
_cell_length_a 8.0841
_cell_length_b 8.0841
_cell_length_c 8.0841
_cell_angle_alpha 90.00
_cell_angle_beta 90.00
_cell_angle_gamma 90.00
_space_group_name_H-M_alt 'F -4 3 m'
_space_group_IT_number 216
_space_group_name_Hall 'F -4 2 3'
loop_
_atom_site_label
_atom_site_fract_x
_atom_site_fract_y
_atom_site_fract_z
Sr1 0.0000 0.0000 0.0000
Eu1 0.0000 0.0000 0.5000
Zr1 0.2500 0.2500 0.7500
V1 0.2500 0.2500 0.2500
O1 0.0083 0.2500 0.2500
```

## Properties
Crystal system   cubic
Total magnetization   8.00 μB per formula unit

=====

2.
## Sr2EuWO6 (GGA+U)

Data for a relaxed Sr2EuWO6 crystal.

The structure in CIF format:
```
data_Sr2EuWO6
_cell_length_a 5.8910
_cell_length_b 6.0717
_cell_length_c 10.2543
_cell_angle_alpha 90.00
_cell_angle_beta 124.80
_cell_angle_gamma 90.00
_space_group_name_H-M_alt 'P 1 21/c 1'
_space_group_IT_number 14
loop_
_space_group_symop_operation_xyz
'x,y,z'
'-x,-y,-z'
'-x,y+1/2,-z+1/2'
'x,-y+1/2,z+1/2'
loop_
_atom_site_label
_atom_site_fract_x
_atom_site_fract_y
_atom_site_fract_z
Sr1 0.2392 0.0476 0.2522
Eu1 0.5000 0.0000 0.0000
W1 0.0000 0.0000 0.5000
O1 0.1174 0.2322 0.9418
O2 0.2250 0.6818 0.9545
O3 0.3193 0.0382 0.7226
```

## Properties
Crystal system   monoclinic
Total magnetization   7.00 μB per formula unit

=====

Record order is preserved below.
Calculated volume: 13.21, 15.06 Å³ per atom
Record order is preserved below.
Energy: -8.575, -7.767 eV/atom